# Co2Pt

A relaxed structure of Co2Pt (GGA-PBEsol, Alexandria).

Values from the calculation:
The value obtained for the total energy is -90.10 eV/cell.

a = 9.4233 Å, b = 2.6239 Å, c = 6.0909 Å
α = 90.00°, β = 104.19°, γ = 90.00°
Space group Cm (No. 8)
Inequivalent atoms, fractional coordinates:
Co  0.0000  0.0000  0.0000 x2
Co  0.0589  0.0000  0.6184 x2
Co  0.1716  0.5000  0.3543 x2
Co  0.3406  0.0000  0.6746 x2
Pt  0.2185  0.5000  0.9411 x2
Pt  0.3972  0.0000  0.2939 x2

***

# MgCd2Au2

A relaxed structure of MgCd2Au2 (GGA-PBEsol, Alexandria).

Values from the calculation:
The value obtained for the total energy is -26.47 eV/cell.

a = 7.1601 Å, b = 7.1601 Å, c = 3.8323 Å
α = 90.00°, β = 90.00°, γ = 90.00°
Space group P4/mbm (No. 127)
Inequivalent atoms, fractional coordinates:
Mg  0.0000  0.0000  0.0000 x2
Cd  0.1594  0.3406  0.5000 x4
Au  0.1419  0.6419  0.0000 x4

***

# CrHg2As

A relaxed structure of CrHg2As (GGA-PBEsol, Alexandria).

Values from the calculation:
The value obtained for the total energy is -30.00 eV/cell.

a = 3.0934 Å, b = 4.9976 Å, c = 10.0280 Å
α = 90.00°, β = 90.00°, γ = 90.00°
Space group Immm (No. 71)
Inequivalent atoms, fractional coordinates:
Cr  0.0000  0.0000  0.0000 x2
Hg  0.0000  0.5000  0.2626 x4
As  0.0000  0.0000  0.5000 x2

***

# NiSb2P

A relaxed structure of NiSb2P (GGA-PBEsol, Alexandria).

Values from the calculation:
For the energy relative to the elements, uncorrected, the calculation gives 0.444 eV/atom.

a = 3.8425 Å, b = 3.8425 Å, c = 10.3660 Å
α = 90.00°, β = 90.00°, γ = 90.00°
Space group I-4m2 (No. 119)
Inequivalent atoms, fractional coordinates:
Ni  0.0000  0.0000  0.0000 x2
Sb  0.0000  0.0000  0.5000 x2
Sb  0.0000  0.5000  0.7500 x2
P  0.0000  0.5000  0.2500 x2

***

# CaZrOs2

A relaxed structure of CaZrOs2 (GGA-PBEsol, Alexandria).

Values from the calculation:
The value obtained for the total energy is -34.68 eV/cell.

a = 4.6458 Å, b = 4.6458 Å, c = 3.2513 Å
α = 90.00°, β = 90.00°, γ = 90.00°
Space group P4/mmm (No. 123)
Inequivalent atoms, fractional coordinates:
Ca  0.0000  0.0000  0.0000 x1
Zr  0.5000  0.5000  0.0000 x1
Os  0.0000  0.5000  0.5000 x2

***

# Re2PtRh

A relaxed structure of Re2PtRh (GGA-PBEsol, Alexandria).

Values from the calculation:
The value obtained for the total energy is -125.87 eV/cell.

a = 2.7304 Å, b = 2.7304 Å, c = 26.7253 Å
α = 90.00°, β = 90.00°, γ = 120.00°
Space group R3m (No. 160, hexagonal axes)
Inequivalent atoms, fractional coordinates:
Re  0.0000  0.0000  0.0000 x3
Re  0.0000  0.0000  0.2510 x3
Pt  0.0000  0.0000  0.4999 x3
Rh  0.0000  0.0000  0.7473 x3

***

# K2Tl

A relaxed structure of K2Tl (GGA-PBEsol, Alexandria).

Values from the calculation:
The value obtained for the total energy is -19.55 eV/cell.

a = 13.6408 Å, b = 4.5451 Å, c = 9.0863 Å
α = 90.00°, β = 108.71°, γ = 90.00°
Space group Cm (No. 8)
Inequivalent atoms, fractional coordinates:
K  0.0000  0.0000  0.0000 x2
K  0.0039  0.0000  0.5005 x2
K  0.2003  0.5000  0.2943 x2
K  0.3062  0.0000  0.6978 x2
Tl  0.1783  0.5000  0.8798 x2
Tl  0.3166  0.0000  0.1020 x2

***

# CaMn4O8

A relaxed structure of CaMn4O8 (GGA-PBEsol, Alexandria).

Values from the calculation:
For the energy relative to the elements, uncorrected, the calculation gives -1.821 eV/atom.

a = 5.6199 Å, b = 11.8870 Å, c = 9.3445 Å
α = 90.00°, β = 90.00°, γ = 90.00°
Space group Cmc2_1 (No. 36)
Inequivalent atoms, fractional coordinates:
Ca  0.0000  0.1203  0.0000 x4
Mn  0.0000  0.1770  0.6874 x4
Mn  0.0000  0.3289  0.1957 x4
Mn  0.2491  0.3687  0.9180 x8
O  0.0000  0.0670  0.5309 x4
O  0.0000  0.1859  0.3039 x4
O  0.0000  0.2968  0.8223 x4
O  0.0000  0.4324  0.0325 x4
O  0.2428  0.1052  0.7896 x8
O  0.2470  0.2535  0.0880 x8

***

# BeOsBr2

A relaxed structure of BeOsBr2 (GGA-PBEsol, Alexandria).

Values from the calculation:
For the energy relative to the elements, uncorrected, the calculation gives 1.371 eV/atom.

a = 3.9772 Å, b = 3.9772 Å, c = 8.2320 Å
α = 90.00°, β = 90.00°, γ = 90.00°
Space group I-4m2 (No. 119)
Inequivalent atoms, fractional coordinates:
Be  0.0000  0.0000  0.0000 x2
Os  0.0000  0.5000  0.7500 x2
Br  0.0000  0.0000  0.5000 x2
Br  0.0000  0.5000  0.2500 x2

***

# ZrCoSe2

A relaxed structure of ZrCoSe2 (GGA-PBEsol, Alexandria).

Values from the calculation:
For the energy relative to the elements, uncorrected, the calculation gives -0.222 eV/atom.

a = 3.2654 Å, b = 3.2654 Å, c = 24.3692 Å
α = 90.00°, β = 90.00°, γ = 120.00°
Space group R-3m (No. 166, hexagonal axes)
Inequivalent atoms, fractional coordinates:
Zr  0.0000  0.0000  0.0000 x3
Co  0.0000  0.0000  0.5000 x3
Se  0.0000  0.0000  0.1102 x6

***

# RbHgSb2Te

A relaxed structure of RbHgSb2Te (GGA-PBEsol, Alexandria).

Values from the calculation:
For the energy relative to the elements, uncorrected, the calculation gives 0.226 eV/atom.

a = 5.5457 Å, b = 5.5457 Å, c = 5.8565 Å
α = 90.00°, β = 90.00°, γ = 90.00°
Space group P4/mmm (No. 123)
Inequivalent atoms, fractional coordinates:
Rb  0.0000  0.0000  0.0000 x1
Hg  0.5000  0.5000  0.5000 x1
Sb  0.0000  0.5000  0.5000 x2
Te  0.5000  0.5000  0.0000 x1

***

# KNbCl6

A relaxed structure of KNbCl6 (GGA-PBEsol, Alexandria).

Values from the calculation:
For the energy relative to the elements, uncorrected, the calculation gives -1.417 eV/atom.

a = 6.9511 Å, b = 6.9511 Å, c = 17.0399 Å
α = 90.00°, β = 90.00°, γ = 120.00°
Space group R3m (No. 160, hexagonal axes)
Inequivalent atoms, fractional coordinates:
K  0.0000  0.0000  0.0000 x3
Nb  0.0000  0.0000  0.7506 x3
Cl  0.0127  0.5063  0.4973 x9
Cl  0.1730  0.3461  0.3371 x9

***

# CsPtI2O

A relaxed structure of CsPtI2O (GGA-PBEsol, Alexandria).

Values from the calculation:
For the energy relative to the elements, uncorrected, the calculation gives 1.133 eV/atom.

a = 6.5512 Å, b = 6.5512 Å, c = 4.1651 Å
α = 90.00°, β = 90.00°, γ = 90.00°
Space group P4/mmm (No. 123)
Inequivalent atoms, fractional coordinates:
Cs  0.0000  0.0000  0.0000 x1
Pt  0.5000  0.5000  0.5000 x1
I  0.0000  0.5000  0.0000 x2
O  0.0000  0.0000  0.5000 x1

***

# Cs2MnN

A relaxed structure of Cs2MnN (GGA-PBEsol, Alexandria).

Values from the calculation:
For the energy relative to the elements, uncorrected, the calculation gives 1.507 eV/atom.

a = 7.8478 Å, b = 7.8478 Å, c = 7.8478 Å
α = 90.00°, β = 90.00°, γ = 90.00°
Space group Fm-3m (No. 225)
Inequivalent atoms, fractional coordinates:
Cs  0.2500  0.2500  0.2500 x8
Mn  0.0000  0.0000  0.0000 x4
N  0.0000  0.0000  0.5000 x4

***

# Cr2Os2W

A relaxed structure of Cr2Os2W (GGA-PBEsol, Alexandria).

Values from the calculation:
The value obtained for the total energy is -111.26 eV/cell.

a = 3.8368 Å, b = 3.8368 Å, c = 9.7268 Å
α = 90.00°, β = 90.00°, γ = 90.00°
Space group I4/mmm (No. 139)
Inequivalent atoms, fractional coordinates:
Cr  0.0000  0.0000  0.1014 x4
Os  0.0000  0.5000  0.2500 x4
W  0.0000  0.0000  0.5000 x2

***

# AgAs2Se

A relaxed structure of AgAs2Se (GGA-PBEsol, Alexandria).

Values from the calculation:
For the energy relative to the elements, uncorrected, the calculation gives 0.345 eV/atom.

a = 3.8331 Å, b = 3.8331 Å, c = 5.2545 Å
α = 90.00°, β = 90.00°, γ = 90.00°
Space group P4/mmm (No. 123)
Inequivalent atoms, fractional coordinates:
Ag  0.0000  0.0000  0.0000 x1
As  0.0000  0.5000  0.5000 x2
Se  0.5000  0.5000  0.0000 x1

***

# Sr2MoRh

A relaxed structure of Sr2MoRh (GGA-PBEsol, Alexandria).

Values from the calculation:
The value obtained for the total energy is -20.43 eV/cell.

a = 3.0868 Å, b = 3.0868 Å, c = 9.3568 Å
α = 90.00°, β = 90.00°, γ = 90.00°
Space group P4/mmm (No. 123)
Inequivalent atoms, fractional coordinates:
Sr  0.0000  0.0000  0.2228 x2
Mo  0.5000  0.5000  0.5000 x1
Rh  0.5000  0.5000  0.0000 x1

***

# TaCoRe3

A relaxed structure of TaCoRe3 (GGA-PBEsol, Alexandria).

Values from the calculation:
The value obtained for the total energy is -46.24 eV/cell.

a = 4.6565 Å, b = 4.6565 Å, c = 4.6565 Å
α = 90.00°, β = 90.00°, γ = 90.00°
Space group Pm-3m (No. 221)
Inequivalent atoms, fractional coordinates:
Ta  0.0000  0.0000  0.0000 x1
Co  0.5000  0.5000  0.5000 x1
Re  0.0000  0.0000  0.5000 x3

***

# MnAlCl2

A relaxed structure of MnAlCl2 (GGA-PBEsol, Alexandria).

Values from the calculation:
For the energy relative to the elements, uncorrected, the calculation gives -0.227 eV/atom.

a = 3.3210 Å, b = 5.6917 Å, c = 8.7823 Å
α = 90.00°, β = 90.00°, γ = 90.00°
Space group Cmmm (No. 65)
Inequivalent atoms, fractional coordinates:
Mn  0.0000  0.0000  0.0000 x2
Al  0.0000  0.0000  0.5000 x2
Cl  0.0000  0.5000  0.1970 x4

***

# Mg2ScSe

A relaxed structure of Mg2ScSe (GGA-PBEsol, Alexandria).

Values from the calculation:
For the energy relative to the elements, uncorrected, the calculation gives -0.551 eV/atom.

a = 3.9201 Å, b = 3.9201 Å, c = 10.6910 Å
α = 90.00°, β = 90.00°, γ = 90.00°
Space group I4/mmm (No. 139)
Inequivalent atoms, fractional coordinates:
Mg  0.0000  0.5000  0.2500 x4
Sc  0.0000  0.0000  0.0000 x2
Se  0.0000  0.0000  0.5000 x2